! GaCoH2BrO | the Alexandria database | PBE+U | optimized geometry; values from VASP
! **M_tot**: 2.00 μB per cell
! **Energy relative to the lowest polymorph listed for this composition**: 10.7 kJ per mole of atoms
&SYSTEM
  ibrav = 0, nat = 12, ntyp = 5
/
ATOMIC_SPECIES
Ga 69.72 Ga.upf
Co 58.93 Co.upf
H 1.01 H.upf
Br 79.90 Br.upf
O 16.00 O.upf
ATOMIC_POSITIONS crystal
Ga 0.426 0.000 0.926
Ga 0.426 0.500 0.426
Co 0.594 0.000 0.195
Co 0.594 0.500 0.695
H 0.460 0.000 0.624
H 0.460 0.500 0.124
H 0.729 0.000 0.097
H 0.729 0.500 0.597
Br 0.955 0.000 0.877
Br 0.955 0.500 0.377
O 0.431 0.000 0.328
O 0.431 0.500 0.828
CELL_PARAMETERS angstrom
5.923 0.000 -0.036
0.000 3.158 0.000
-4.802 0.000 8.845